VASP calculation (PBE) on Nd2AgHg2 after structural relaxation.

As for the energy of formation from the pure elements: -252 meV/atom. The density of states at the Fermi level is 20.2 states/eV/cell. The crystal system is monoclinic. The calculation puts the energy above the most stable polymorph in this dataset at 108 meV/atom.

It has space group C2/c (No. 15), with a = 8.812 Å, b = 5.442 Å, c = 11.532 Å, α = 90.00°, β = 104.75° and γ = 90.00°. The distinct sites, in fractional coordinates, are Nd at (0.107, 0.250, 0.093), Ag at (0.000, 0.249, 0.750) and Hg at (0.224, 0.250, 0.367).

VASP calculation (PBE) on NdAg2Hg4 after structural relaxation.

As for the energy of formation from the pure elements: -172 meV/atom. The density of states at the Fermi level is 4.4 states/eV/cell. The crystal system is tetragonal.

It has space group P4/mmm (No. 123), with a = 4.887 Å, b = 4.887 Å, c = 7.329 Å, α = 90.00°, β = 90.00° and γ = 90.00°. The distinct sites, in fractional coordinates, are Nd at (0.000, 0.000, 0.000), Ag at (0.000, 0.000, 0.500), Ag at (0.500, 0.500, 0.000) and Hg at (0.000, 0.500, 0.281).

VASP calculation (PBE) on NdAgHg6 after structural relaxation.

As for the energy of formation from the pure elements: -41 meV/atom. The density of states at the Fermi level is 15.7 states/eV/cell. The crystal system is trigonal. The calculation puts the energy above the most stable polymorph in this dataset at 94 meV/atom.

It has space group R-3m (No. 166, hexagonal axes), with a = 8.6432 Å, b = 8.6432 Å, c = 10.5307 Å, α = 90.00°, β = 90.00° and γ = 120.00°. The distinct sites, in fractional coordinates, are Nd at (0.0000, 0.0000, 0.0000), Ag at (0.0000, 0.0000, 0.5000) and Hg at (0.0875, 0.5438, 0.3725).

VASP calculation (PBE) on Nd4Ag2Hg after structural relaxation.

As for the energy of formation from the pure elements: -165 meV/atom. The density of states at the Fermi level is 33.9 states/eV/cell. The crystal system is tetragonal. The calculation puts the energy above the most stable polymorph in this dataset at 12 meV/atom.

It has space group I-42d (No. 122), with a = 9.457 Å, b = 9.457 Å, c = 9.216 Å, α = 90.00°, β = 90.00° and γ = 90.00°. The distinct sites, in fractional coordinates, are Nd at (0.070, 0.175, 0.305), Ag at (0.127, 0.250, 0.625) and Hg at (0.000, 0.000, 0.000).

VASP calculation (PBE) on Nd3Ag2Hg after structural relaxation.

As for the energy of formation from the pure elements: -332 meV/atom. The density of states at the Fermi level is 10.8 states/eV/cell. The crystal system is orthorhombic.

It has space group Cmmm (No. 65), with a = 5.335 Å, b = 15.975 Å, c = 3.812 Å, α = 90.00°, β = 90.00° and γ = 90.00°. The distinct sites, in fractional coordinates, are Nd at (0.000, 0.000, 0.000), Nd at (0.000, 0.331, 0.000), Ag at (0.000, 0.165, 0.500) and Hg at (0.000, 0.500, 0.500).

VASP calculation (PBE) on Nd3AgHg4 after structural relaxation.

As for the energy of formation from the pure elements: -303 meV/atom. The density of states at the Fermi level is 12.3 states/eV/cell. The crystal system is orthorhombic. The calculation puts the energy above the most stable polymorph in this dataset at 86 meV/atom.

It has space group Immm (No. 71), with a = 3.848 Å, b = 9.347 Å, c = 12.679 Å, α = 90.00°, β = 90.00° and γ = 90.00°. The distinct sites, in fractional coordinates, are Nd at (0.000, 0.000, 0.000), Nd at (0.000, 0.500, 0.202), Ag at (0.000, 0.000, 0.500) and Hg at (0.000, 0.265, 0.374).

VASP calculation (PBE) on Nd3AgHg4 after structural relaxation.

As for the energy of formation from the pure elements: -389 meV/atom. The density of states at the Fermi level is 23.1 states/eV/cell. The crystal system is trigonal. The calculation puts the energy above the most stable polymorph in this dataset at 0 meV/atom.

It has space group R-3m (No. 166, hexagonal axes), with a = 5.1885 Å, b = 5.1885 Å, c = 27.3096 Å, α = 90.00°, β = 90.00° and γ = 120.00°. The distinct sites, in fractional coordinates, are Nd at (0.0000, 0.0000, 0.0000), Nd at (0.0000, 0.0000, 0.2401), Ag at (0.0000, 0.0000, 0.5000), Hg at (0.0000, 0.0000, 0.1253) and Hg at (0.0000, 0.0000, 0.3744).

VASP calculation (PBE) on Nd2AgHg after structural relaxation.

As for the energy of formation from the pure elements: -367 meV/atom. The density of states at the Fermi level is 15.5 states/eV/cell. The crystal system is cubic. The calculation puts the energy above the most stable polymorph in this dataset at 0 meV/atom.

It has space group Fm-3m (No. 225), with a = 7.594 Å, b = 7.594 Å, c = 7.594 Å, α = 90.00°, β = 90.00° and γ = 90.00°. The distinct sites, in fractional coordinates, are Nd at (0.250, 0.250, 0.250), Ag at (0.000, 0.000, 0.000) and Hg at (0.000, 0.000, 0.500).

VASP calculation (PBE) on NdAg9Hg2 after structural relaxation.

As for the energy of formation from the pure elements: -20 meV/atom. The density of states at the Fermi level is 16.2 states/eV/cell. The crystal system is trigonal.

It has space group R-3m (No. 166, hexagonal axes), with a = 5.6970 Å, b = 5.6970 Å, c = 26.8379 Å, α = 90.00°, β = 90.00° and γ = 120.00°. The distinct sites, in fractional coordinates, are Nd at (0.0000, 0.0000, 0.0000), Ag at (0.0000, 0.0000, 0.3338), Ag at (0.0000, 0.0000, 0.5000), Ag at (0.0051, 0.5025, 0.9147) and Hg at (0.0000, 0.0000, 0.1383).

VASP calculation (PBE) on Nd3Ag3Hg after structural relaxation.

As for the energy of formation from the pure elements: -287 meV/atom. The density of states at the Fermi level is 9.2 states/eV/cell. The crystal system is orthorhombic.

It has space group Imm2 (No. 44), with a = 3.607 Å, b = 4.860 Å, c = 20.814 Å, α = 90.00°, β = 90.00° and γ = 90.00°. The distinct sites, in fractional coordinates, are Nd at (0.000, 0.000, 0.000), Nd at (0.000, 0.000, 0.387), Nd at (0.000, 0.500, 0.189), Ag at (0.000, 0.000, 0.550), Ag at (0.000, 0.000, 0.836), Ag at (0.000, 0.500, 0.624) and Hg at (0.000, 0.500, 0.759).

VASP calculation (PBE) on Nd6AgHg after structural relaxation.

As for the energy of formation from the pure elements: -167 meV/atom. The density of states at the Fermi level is 24.2 states/eV/cell. The crystal system is tetragonal.

It has space group I4/mmm (No. 139), with a = 5.276 Å, b = 5.276 Å, c = 18.070 Å, α = 90.00°, β = 90.00° and γ = 90.00°. The distinct sites, in fractional coordinates, are Nd at (0.000, 0.000, 0.250), Nd at (0.000, 0.500, 0.108), Ag at (0.000, 0.000, 0.000) and Hg at (0.000, 0.000, 0.500).

VASP calculation (PBE) on Nd4AgHg3 after structural relaxation.

As for the energy of formation from the pure elements: -421 meV/atom. The density of states at the Fermi level is 31.1 states/eV/cell. The crystal system is orthorhombic. The calculation puts the energy above the most stable polymorph in this dataset at 0 meV/atom.

It has space group Fmmm (No. 69), with a = 7.623 Å, b = 7.651 Å, c = 15.227 Å, α = 90.00°, β = 90.00° and γ = 90.00°. The distinct sites, in fractional coordinates, are Nd at (0.250, 0.250, 0.124), Ag at (0.000, 0.000, 0.000), Hg at (0.000, 0.000, 0.251) and Hg at (0.000, 0.000, 0.500).